Entry 1:
# YAlBrCl2 (PBE-GGA, relaxed)
# * final energy: -18.1 eV per cell
# * density of states at the Fermi level: 1.08 states/eV/atom
# * ΔE_f (raw): -495 meV per atom
# * spin magnetization: 1.55 μB per formula unit
data_YAlBrCl2
_space_group_name_H-M_alt 'P 4/m m m'
_space_group_IT_number 123
_space_group_name_Hall '-P 4 2'
_cell_length_a 4.976
_cell_length_b 4.976
_cell_length_c 5.510
_cell_angle_alpha 90.00
_cell_angle_beta 90.00
_cell_angle_gamma 90.00
loop_
_atom_site_label
_atom_site_type_symbol
_atom_site_fract_x
_atom_site_fract_y
_atom_site_fract_z
_atom_site_occupancy
Y1 Y 0.000 0.000 0.000 1
Al1 Al 0.500 0.500 0.500 1
Br1 Br 0.500 0.500 0.000 1
Cl1 Cl 0.000 0.500 0.500 1

Entry 2:
# AlCoBr2 (PBE-GGA, relaxed)
# * final energy: -25.8 eV per cell
# * density of states at the Fermi level: 1.05 states/eV/atom
# * ΔE_f (raw): 322 meV per atom
# * spin magnetization: 2.00 μB per formula unit
data_AlCoBr2
_space_group_name_H-M_alt 'C 1 2/m 1'
_space_group_IT_number 12
_space_group_name_Hall '-C 2y'
_cell_length_a 7.521
_cell_length_b 7.512
_cell_length_c 3.276
_cell_angle_alpha 90.00
_cell_angle_beta 90.12
_cell_angle_gamma 90.00
loop_
_atom_site_label
_atom_site_type_symbol
_atom_site_fract_x
_atom_site_fract_y
_atom_site_fract_z
_atom_site_occupancy
Al1 Al 0.000 0.000 0.000 1
Co1 Co 0.000 0.500 0.000 1
Br1 Br 0.250 0.250 0.000 1

Entry 3:
# AlCo3Br (PBE-GGA, relaxed)
# * final energy: -21.4 eV per cell
# * density of states at the Fermi level: 1.51 states/eV/atom
# * ΔE_f (raw): 1057 meV per atom
# * spin magnetization: 1.33 μB per formula unit
data_AlCo3Br
_space_group_name_H-M_alt 'P m -3 m'
_space_group_IT_number 221
_space_group_name_Hall '-P 4 2 3'
_cell_length_a 4.292
_cell_length_b 4.292
_cell_length_c 4.292
_cell_angle_alpha 90.00
_cell_angle_beta 90.00
_cell_angle_gamma 90.00
loop_
_atom_site_label
_atom_site_type_symbol
_atom_site_fract_x
_atom_site_fract_y
_atom_site_fract_z
_atom_site_occupancy
Al1 Al 0.000 0.000 0.000 1
Co1 Co 0.000 0.500 0.500 1
Br1 Br 0.500 0.500 0.500 1

Entry 4:
# AlCoBr2 (PBE-GGA, relaxed)
# * final energy: -26.6 eV per cell
# * density of states at the Fermi level: 1.35 states/eV/atom
# * ΔE_f (raw): 226 meV per atom
# * spin magnetization: 2.23 μB per formula unit
data_AlCoBr2
_space_group_name_H-M_alt 'C m m m'
_space_group_IT_number 65
_space_group_name_Hall '-C 2 2'
_cell_length_a 3.612
_cell_length_b 6.390
_cell_length_c 8.499
_cell_angle_alpha 90.00
_cell_angle_beta 90.00
_cell_angle_gamma 90.00
loop_
_atom_site_label
_atom_site_type_symbol
_atom_site_fract_x
_atom_site_fract_y
_atom_site_fract_z
_atom_site_occupancy
Al1 Al 0.000 0.000 0.000 1
Co1 Co 0.000 0.000 0.500 1
Br1 Br 0.000 0.500 0.299 1

Entry 5:
# AlCo2Br (PBE-GGA, relaxed)
# * final energy: -19.1 eV per cell
# * density of states at the Fermi level: 1.10 states/eV/atom
# * ΔE_f (raw): 124 meV per atom
# * spin magnetization: 2.40 μB per formula unit
data_AlCo2Br
_space_group_name_H-M_alt 'P m m m'
_space_group_IT_number 47
_space_group_name_Hall '-P 2 2'
_cell_length_a 3.079
_cell_length_b 3.270
_cell_length_c 6.378
_cell_angle_alpha 90.00
_cell_angle_beta 90.00
_cell_angle_gamma 90.00
loop_
_atom_site_label
_atom_site_type_symbol
_atom_site_fract_x
_atom_site_fract_y
_atom_site_fract_z
_atom_site_occupancy
Al1 Al 0.000 0.000 0.000 1
Co1 Co 0.500 0.500 0.180 1
Br1 Br 0.000 0.500 0.500 1

Entry 6:
# AlCoBr3 (PBE-GGA, relaxed)
# * final energy: -16.1 eV per cell
# * density of states at the Fermi level: 1.55 states/eV/atom
# * ΔE_f (raw): -45 meV per atom
# * spin magnetization: 2.32 μB per formula unit
data_AlCoBr3
_space_group_name_H-M_alt 'P m -3 m'
_space_group_IT_number 221
_space_group_name_Hall '-P 4 2 3'
_cell_length_a 5.065
_cell_length_b 5.065
_cell_length_c 5.065
_cell_angle_alpha 90.00
_cell_angle_beta 90.00
_cell_angle_gamma 90.00
loop_
_atom_site_label
_atom_site_type_symbol
_atom_site_fract_x
_atom_site_fract_y
_atom_site_fract_z
_atom_site_occupancy
Al1 Al 0.000 0.000 0.000 1
Co1 Co 0.500 0.500 0.500 1
Br1 Br 0.000 0.500 0.500 1